[1]
Na3Ac2SmS6 after structural relaxation, computed with GGA-PBE.

Cell: 18.2934 4.2676 8.3220 Å, 90.00 100.89 90.00°
Space group C2/m (No. 12)
Symmetry-distinct sites (fractional):
Na: 0.0000 0.0000 0.0000
Na: 0.1608 0.5000 0.3291
Ac: 0.1657 0.5000 0.8257
Sm: 0.0000 0.0000 0.5000
S: 0.0013 0.5000 0.7298
S: 0.1576 0.0000 0.5758
S: 0.1677 0.0000 0.0772

Values from the calculation:
DFT total energy = -5.277 eV per atom
Total magnetic moment = 0.0 μB/cell
ΔE_f (raw) = -1805 meV per atom

=====

[2]
NaAc2SmS4 after structural relaxation, computed with GGA-PBE.

Cell: 7.1533 4.2016 7.3288 Å, 90.00 109.66 90.00°
Space group P2/m (No. 10)
Symmetry-distinct sites (fractional):
Na: 0.0000 0.0000 0.0000
Ac: 0.5000 0.0000 0.5000
Ac: 0.5000 0.5000 0.0000
Sm: 0.0000 0.5000 0.5000
S: 0.2320 0.0000 0.7426
S: 0.2373 0.5000 0.2502

Values from the calculation:
DFT total energy = -5.737 eV per atom
Total magnetic moment = 0.0 μB/cell
ΔE_f (raw) = -1892 meV per atom

=====

[3]
NaAcSm2S4 after structural relaxation, computed with GGA-PBE.

Cell: 7.0422 4.0855 7.2464 Å, 90.00 108.92 90.00°
Space group P2/m (No. 10)
Symmetry-distinct sites (fractional):
Na: 0.0000 0.0000 0.0000
Ac: 0.5000 0.5000 0.0000
Sm: 0.0000 0.5000 0.5000
Sm: 0.5000 0.0000 0.5000
S: 0.2390 0.0000 0.7356
S: 0.2524 0.5000 0.2643

Values from the calculation:
DFT total energy = -5.835 eV per atom
Total magnetic moment = 0.0 μB/cell
ΔE_f (raw) = -1913 meV per atom

=====

[4]
Na2AcSnS4 after structural relaxation, computed with GGA-PBE.

Cell: 5.7979 5.7979 11.9823 Å, 90.00 90.00 90.00°
Space group I-4m2 (No. 119)
Symmetry-distinct sites (fractional):
Na: 0.0000 0.0000 0.0000
Na: 0.0000 0.5000 0.2500
Ac: 0.0000 0.5000 0.7500
Sn: 0.0000 0.0000 0.5000
S: 0.0000 0.0000 0.2733
S: 0.0000 0.5000 0.9998

Values from the calculation:
DFT total energy = -4.630 eV per atom
Total magnetic moment = 0.0 μB/cell
ΔE_f (raw) = -1223 meV per atom

=====

[5]
NaAcSnS3 after structural relaxation, computed with GGA-PBE.

Cell: 8.6695 4.1013 10.0264 Å, 90.00 95.91 90.00°
Space group P2_1/m (No. 11)
Symmetry-distinct sites (fractional):
Na: 0.1511 0.2500 0.0848
Ac: 0.1520 0.2500 0.6951
Sn: 0.3486 0.7500 0.3624
S: 0.1195 0.2500 0.3838
S: 0.1748 0.7500 0.9045
S: 0.3951 0.7500 0.6166

Values from the calculation:
DFT total energy = -4.920 eV per atom
Total magnetic moment = 0.0 μB/cell
ΔE_f (raw) = -1285 meV per atom

=====

[6]
Na4Ac3SnS8 after structural relaxation, computed with GGA-PBE.

Cell: 8.5293 8.5293 20.2381 Å, 90.00 90.00 120.00°
Space group R-3m (No. 166, hexagonal axes)
Symmetry-distinct sites (fractional):
Na: 0.0000 0.0000 0.0000
Na: 0.0000 0.5000 0.0000
Ac: 0.0000 0.5000 0.5000
Sn: 0.0000 0.0000 0.5000
S: 0.0000 0.0000 0.2477
S: 0.0176 0.5088 0.2452

Values from the calculation:
DFT total energy = -4.926 eV per atom
Total magnetic moment = 0.0 μB/cell
ΔE_f (raw) = -1513 meV per atom

=====

Q: Among the records above, which one has the lowest ΔE_f (raw)?
A: NaAcSm2S4